No. 1
A relaxed Sr2H5Pd2 crystal, computed with PBE.

Results
Space group: C2/m (12)
Spin magnetization (Bohr magnetons per cell): 0.00
Calculated total energy (eV/atom): -3.846

Unit cell a=5.6109 b=5.6109 c=6.0115 alpha=101.09 beta=101.09 gamma=39.91
Positions (direct):
Sr: 0.1005 0.1005 0.3034
Sr: 0.8995 0.8995 0.6966
H: 0.1808 0.1808 0.9056
H: 0.3593 0.3593 0.4173
H: 0.5000 0.5000 0.0000
H: 0.6407 0.6407 0.5827
H: 0.8192 0.8192 0.0944
Pd: 0.3491 0.3491 0.1176
Pd: 0.6509 0.6509 0.8824

No. 2
A relaxed Sr2H4Pd crystal, computed with PBE.

Results
Space group: Pnma (62)
Spin magnetization (Bohr magnetons per cell): 0.00
Calculated total energy (eV/atom): -3.703
Energy above the most stable polymorph in this dataset (meV per atom): 0

Unit cell a=7.6178 b=5.4856 c=9.6994 alpha=90.00 beta=90.00 gamma=90.00
Positions (direct):
Sr: 0.0093 0.2500 0.1695
Sr: 0.1510 0.7500 0.4089
Sr: 0.3490 0.2500 0.9089
Sr: 0.4907 0.7500 0.6695
Sr: 0.5093 0.2500 0.3305
Sr: 0.6510 0.7500 0.0911
Sr: 0.8490 0.2500 0.5911
Sr: 0.9907 0.7500 0.8305
H: 0.0075 0.7500 0.1010
H: 0.1759 0.2500 0.4101
H: 0.1774 0.5204 0.6580
H: 0.1774 0.9796 0.6580
H: 0.3226 0.0204 0.1580
H: 0.3226 0.4796 0.1580
H: 0.3241 0.7500 0.9101
H: 0.4925 0.2500 0.6010
H: 0.5075 0.7500 0.3990
H: 0.6759 0.2500 0.0899
H: 0.6774 0.5204 0.8420
H: 0.6774 0.9796 0.8420
H: 0.8226 0.0204 0.3419
H: 0.8226 0.4796 0.3419
H: 0.8241 0.7500 0.5899
H: 0.9925 0.2500 0.8990
Pd: 0.2404 0.7500 0.0845
Pd: 0.2596 0.2500 0.5845
Pd: 0.7404 0.7500 0.4155
Pd: 0.7596 0.2500 0.9155